A relaxed Na12Se5I3 crystal, computed with PBE.

Unit cell a=15.456 b=15.456 c=15.456 alpha=109.47 beta=109.47 gamma=109.47
Atoms (fractional coordinates):
Na: 0.026 0.202 0.111
Na: 0.026 0.324 0.915
Na: 0.085 0.611 0.409
Na: 0.085 0.974 0.676
Na: 0.091 0.702 0.676
Na: 0.091 0.889 0.415
Na: 0.111 0.026 0.202
Na: 0.111 0.585 0.909
Na: 0.176 0.202 0.591
Na: 0.176 0.474 0.585
Na: 0.202 0.111 0.026
Na: 0.202 0.591 0.176
Na: 0.298 0.324 0.909
Na: 0.298 0.474 0.389
Na: 0.324 0.909 0.298
Na: 0.324 0.915 0.026
Na: 0.389 0.298 0.474
Na: 0.389 0.591 0.915
Na: 0.409 0.085 0.611
Na: 0.409 0.824 0.798
Na: 0.415 0.091 0.889
Na: 0.415 0.824 0.526
Na: 0.474 0.389 0.298
Na: 0.474 0.585 0.176
Na: 0.526 0.415 0.824
Na: 0.526 0.611 0.702
Na: 0.585 0.176 0.474
Na: 0.585 0.909 0.111
Na: 0.591 0.176 0.202
Na: 0.591 0.915 0.389
Na: 0.611 0.409 0.085
Na: 0.611 0.702 0.526
Na: 0.676 0.085 0.974
Na: 0.676 0.091 0.702
Na: 0.702 0.526 0.611
Na: 0.702 0.676 0.091
Na: 0.798 0.409 0.824
Na: 0.798 0.889 0.974
Na: 0.824 0.526 0.415
Na: 0.824 0.798 0.409
Na: 0.889 0.415 0.091
Na: 0.889 0.974 0.798
Na: 0.909 0.111 0.585
Na: 0.909 0.298 0.324
Na: 0.915 0.026 0.324
Na: 0.915 0.389 0.591
Na: 0.974 0.676 0.085
Na: 0.974 0.798 0.889
Se: 0.000 0.000 0.000
Se: 0.000 0.000 0.500
Se: 0.000 0.500 0.000
Se: 0.000 0.500 0.500
Se: 0.125 0.750 0.875
Se: 0.125 0.875 0.250
Se: 0.250 0.125 0.875
Se: 0.250 0.625 0.375
Se: 0.375 0.250 0.625
Se: 0.375 0.625 0.750
Se: 0.500 0.000 0.000
Se: 0.500 0.000 0.500
Se: 0.500 0.500 0.000
Se: 0.500 0.500 0.500
Se: 0.625 0.375 0.250
Se: 0.625 0.750 0.375
Se: 0.750 0.375 0.625
Se: 0.750 0.875 0.125
Se: 0.875 0.125 0.750
Se: 0.875 0.250 0.125
I: 0.125 0.250 0.375
I: 0.125 0.375 0.750
I: 0.250 0.375 0.125
I: 0.250 0.875 0.625
I: 0.375 0.125 0.250
I: 0.375 0.750 0.125
I: 0.625 0.250 0.875
I: 0.625 0.875 0.750
I: 0.750 0.125 0.375
I: 0.750 0.625 0.875
I: 0.875 0.625 0.250
I: 0.875 0.750 0.625

Computed properties:
energy relative to the elements, uncorrected: -21.426 kcal/mol of atoms
N(E_F): 20.65 states/eV/f.u.